GGA-PBE Rb2Er2SbSe6, optimized geometry; calculated total energy = -0.3362 Ry per atom; density of states at the Fermi level = 0.3740 states/eV per atom; formation energy (no corrections) = -1.293 eV per atom
1.0
-5.992 1.118 3.715
0.206 -5.089 -5.002
4.433 -4.122 6.087
Er Rb Se Sb
2 2 6 1
direct
0.332 0.668 0.500
0.668 0.332 0.500
0.167 0.833 0.000
0.833 0.167 0.000
0.065 0.393 0.690
0.607 0.935 0.310
0.393 0.065 0.690
0.935 0.607 0.310
0.265 0.265 0.311
0.735 0.735 0.689
0.000 0.000 0.500